VHg3Te2F6 | PBE with a Hubbard U | optimized geometry

space-group type: C2/m, No. 12
ρ: 6.44 Mg/m³
M_tot: 1.00 μB/f.u.
total energy: -3.804 eV per atom

Cell: 7.813 7.813 5.436 Å, 102.36 102.36 54.89°
Atoms (fractional coordinates):
V1 0.000 0.000 0.000
Hg1 0.000 0.500 0.000
Hg2 0.500 0.000 0.000
Hg3 0.500 0.500 0.500
Te1 0.300 0.300 0.382
Te2 0.700 0.700 0.618
F1 0.100 0.100 0.812
F2 0.119 0.740 0.794
F3 0.260 0.881 0.206
F4 0.740 0.119 0.794
F5 0.881 0.260 0.206
F6 0.900 0.900 0.188